{"formula": "Re2PdRh", "functional": "GGA-PBE", "state": "relaxed", "cell": [[7.0775, 0.0000, 0.0000], [0.0000, 7.0775, 0.0000], [3.5388, 3.5388, 2.6162]], "species": ["Re", "Re", "Re", "Re", "Pd", "Pd", "Rh", "Rh"], "frac_coords": [[0.8750, 0.8495, 0.7500], [0.1505, 0.6250, 0.2500], [0.3750, 0.4005, 0.7500], [0.5995, 0.1250, 0.2500], [0.0000, 0.0000, 0.0000], [0.7500, 0.2500, 0.5000], [0.2500, 0.7500, 0.5000], [0.5000, 0.5000, 0.0000]], "space_group": "I-42d (122)", "total_magnetization_mub_per_fu": 0.00, "polymorph_energy_mev_per_atom": 754, "final_energy_ev_per_atom": -8.5336, "formation_energy_kj_per_mol_atoms": 79.7}